1.
A relaxed structure of TbPm5Al6. Source: Alexandria via LeMat-Bulk, functional PBE-GGA.

Structure (extended XYZ):
```
12
Lattice="5.005 0.021 -1.461 -1.012 6.477 -3.373 -0.087 0.484 9.014" Properties=species:S:1:pos:R:3 pbc="T T T"
Pm 2.626 4.480 -0.241
Pm 0.755 5.704 2.670
Pm 3.151 1.278 1.510
Pm 1.280 2.502 4.421
Pm -0.506 3.238 -1.686
Al 4.040 0.864 4.554
Al -0.135 6.118 -0.374
Al 2.259 1.569 -1.542
Al 3.526 4.165 2.835
Al 0.380 2.817 1.346
Al 1.734 4.929 -3.292
Tb 0.000 0.000 0.000
```

=====

2.
A relaxed structure of Tb4Pm9Al11. Source: Alexandria via LeMat-Bulk, functional PBE-GGA.

Structure (extended XYZ):
```
24
Lattice="3.469 0.000 0.000 0.000 12.759 -4.982 0.000 0.433 13.691" Properties=species:S:1:pos:R:3 pbc="T T T"
Pm 1.734 10.577 9.478
Pm 1.734 5.273 9.605
Pm 1.734 12.872 6.001
Pm 1.734 2.288 7.634
Pm 1.734 6.596 4.354
Pm 1.734 0.320 2.707
Pm 1.734 10.904 1.074
Pm 1.734 2.615 -0.770
Pm 1.734 7.919 -0.896
Al 0.000 5.315 -1.436
Al 0.000 8.105 2.068
Al 0.000 5.087 6.640
Al 0.000 2.699 10.258
Al 0.000 12.424 3.257
Al 0.000 0.768 5.452
Al 0.000 10.493 -1.550
Al 0.000 2.812 1.856
Al 0.000 7.877 10.144
Al 0.000 10.380 6.852
Al 0.000 0.000 0.000
Tb 1.734 7.829 7.431
Tb 1.734 5.363 1.277
Tb 1.734 3.282 4.430
Tb 1.734 9.910 4.279
```

=====

3.
A relaxed structure of TbPm3Al2. Source: Alexandria via LeMat-Bulk, functional PBE-GGA.

Structure (extended XYZ):
```
12
Lattice="-2.259 3.870 -2.052 -4.136 -5.434 -5.696 -2.545 0.023 8.768" Properties=species:S:1:pos:R:3 pbc="T T T"
Pm -5.888 0.085 0.723
Pm -2.164 0.577 -2.450
Pm -4.232 -2.141 -5.298
Pm -3.054 -1.625 0.297
Pm -3.819 2.802 3.571
Pm -5.122 -4.342 -2.551
Al -3.960 -0.523 3.375
Al -2.913 1.699 0.494
Al -6.028 -3.240 0.526
Al -4.981 -1.017 -2.355
Tb -2.068 -2.717 -2.848
Tb 0.000 0.000 0.000
```

The energy relative to the lowest polymorph listed for this composition is 0.079 eV/atom.

=====

4.
A relaxed structure of TbPm9Al2. Source: Alexandria via LeMat-Bulk, functional PBE-GGA.

Structure (extended XYZ):
```
12
Lattice="4.921 0.000 0.000 0.000 4.921 0.000 0.000 0.000 15.095" Properties=species:S:1:pos:R:3 pbc="T T T"
Al 0.000 0.000 9.965
Al 0.000 0.000 5.130
Pm 0.000 2.460 7.548
Pm 2.460 2.460 5.132
Pm 2.460 0.000 12.415
Pm 2.460 0.000 7.548
Pm 2.460 2.460 9.963
Pm 0.000 2.460 2.680
Pm 0.000 2.460 12.415
Pm 2.460 2.460 0.000
Pm 2.460 0.000 2.680
Tb 0.000 0.000 0.000
```

=====

5.
A relaxed structure of TbPm14Al. Source: Alexandria via LeMat-Bulk, functional PBE-GGA.

Structure (extended XYZ):
```
16
Lattice="-4.375 5.249 -2.499 -1.674 -6.984 -1.166 -5.931 -0.231 9.899" Properties=species:S:1:pos:R:3 pbc="T T T"
Pm -5.547 -2.988 3.336
Pm -5.787 -1.657 6.825
Pm -4.734 0.436 3.903
Pm -6.890 3.090 2.673
Pm -7.686 -0.411 2.114
Pm -1.683 0.681 -0.992
Pm -5.726 -2.426 -0.360
Pm -3.666 -5.006 1.186
Pm -8.900 -2.550 4.939
Pm -4.878 1.170 0.262
Pm -4.850 -0.227 -2.911
Pm -8.026 1.048 5.517
Pm -6.512 -5.117 5.937
Pm -2.612 -1.533 1.526
Al -3.923 3.203 -2.276
Tb -2.557 -2.983 -1.602
```

=====

6.
A relaxed structure of Tb4PmAl. Source: Alexandria via LeMat-Bulk, functional PBE-GGA.

Structure (extended XYZ):
```
12
Lattice="6.222 -0.654 0.000 -2.481 8.638 0.000 -1.871 -3.992 6.956" Properties=species:S:1:pos:R:3 pbc="T T T"
Tb 3.030 -1.160 2.542
Tb -1.619 -1.684 5.386
Tb 1.789 3.159 4.414
Tb 3.363 1.981 1.570
Tb -1.159 5.152 4.414
Tb 3.490 5.676 1.570
Tb 0.082 0.833 2.542
Tb -1.492 2.011 5.386
Al 4.667 -0.490 0.008
Al -2.796 4.482 6.948
Pm 1.556 -0.163 5.624
Pm 0.315 4.155 1.332
```

The energy relative to the lowest polymorph listed for this composition is 0.075 eV/atom.

=====

7.
A relaxed structure of TbPm5Al3. Source: Alexandria via LeMat-Bulk, functional PBE-GGA.

Structure (extended XYZ):
```
18
Lattice="-6.250 0.443 -2.647 -2.142 -8.213 3.683 -1.489 7.760 4.816" Properties=species:S:1:pos:R:3 pbc="T T T"
Al -3.999 -0.193 5.041
Al -5.882 0.184 0.811
Al -6.125 -5.179 0.487
Al -2.052 2.663 0.923
Al -7.829 -2.673 4.929
Al -2.267 -2.590 0.550
Tb -3.125 0.222 -1.323
Tb 0.000 0.000 0.000
Pm -7.328 -5.281 3.310
Pm -2.987 -5.350 1.787
Pm -2.779 -0.042 2.184
Pm -4.830 2.655 3.111
Pm -5.405 -2.420 -0.751
Pm -7.103 0.033 3.668
Pm -5.051 -2.665 2.742
Pm -1.926 -2.886 4.065
Pm -1.705 2.433 4.434
Pm -2.553 5.271 2.543
```

=====

8.
A relaxed structure of TbPm4Al. Source: Alexandria via LeMat-Bulk, functional PBE-GGA.

Structure (extended XYZ):
```
12
Lattice="-4.306 0.696 4.641 -2.144 -6.772 -5.680 6.830 -1.477 4.542" Properties=species:S:1:pos:R:3 pbc="T T T"
Pm 0.769 -6.887 -0.617
Pm 0.879 -2.298 1.151
Pm -2.606 -2.464 2.358
Pm -4.365 -5.306 0.744
Pm 2.987 -5.089 1.145
Pm 4.746 -2.247 2.759
Pm -0.499 -5.255 2.352
Pm -0.388 -0.666 4.120
Al 3.608 -8.073 0.020
Al -3.228 0.520 3.483
Tb 1.869 -3.515 4.446
Tb -1.488 -4.038 -0.943
```

The energy relative to the lowest polymorph listed for this composition is 0.072 eV/atom.

=====

no.,calculated total energy (eV per atom)
1,-4.609
2,-4.570
3,-4.579
4,-4.671
5,-4.684
6,-4.542
7,-4.640
8,-4.591